1:
Si3Ni5: optimized geometry, PBE.

The structure in CIF format:
```
data_Si3Ni5
_cell_length_a 4.9061
_cell_length_b 4.9061
_cell_length_c 3.7154
_cell_angle_alpha 90.00
_cell_angle_beta 90.00
_cell_angle_gamma 98.80
_space_group_name_H-M_alt 'P 1'
_space_group_IT_number 1
loop_
_space_group_symop_operation_xyz
'x,y,z'
loop_
_atom_site_label
_atom_site_type_symbol
_atom_site_fract_x
_atom_site_fract_y
_atom_site_fract_z
Si1 Si 0.0000 0.0000 0.0000
Si2 Si 0.2939 0.7061 0.5000
Si3 Si 0.7061 0.2939 0.5000
Ni1 Ni 0.0000 0.5000 0.0000
Ni2 Ni 0.2030 0.2030 0.5000
Ni3 Ni 0.5000 0.0000 0.0000
Ni4 Ni 0.5000 0.5000 0.0000
Ni5 Ni 0.7970 0.7970 0.5000
```

Volume ... 11.05 Å³/atom
Crystal system ... orthorhombic

***

2:
Si3Ni5: optimized geometry, PBE.

The structure in CIF format:
```
data_Si3Ni5
_cell_length_a 8.4084
_cell_length_b 7.1649
_cell_length_c 6.0527
_cell_angle_alpha 90.00
_cell_angle_beta 90.00
_cell_angle_gamma 90.00
_space_group_name_H-M_alt 'P 1'
_space_group_IT_number 1
loop_
_space_group_symop_operation_xyz
'x,y,z'
loop_
_atom_site_label
_atom_site_type_symbol
_atom_site_fract_x
_atom_site_fract_y
_atom_site_fract_z
Si1 Si 0.0304 0.2500 0.0788
Si2 Si 0.1858 0.5191 0.4593
Si3 Si 0.1858 0.9809 0.4593
Si4 Si 0.3142 0.0191 0.9593
Si5 Si 0.3142 0.4809 0.9593
Si6 Si 0.4696 0.7500 0.5788
Si7 Si 0.5304 0.2500 0.4212
Si8 Si 0.6858 0.5191 0.0407
Si9 Si 0.6858 0.9809 0.0407
Si10 Si 0.8142 0.0191 0.5407
Si11 Si 0.8142 0.4809 0.5407
Si12 Si 0.9696 0.7500 0.9212
Ni1 Ni 0.0153 0.2500 0.4705
Ni2 Ni 0.0596 0.0392 0.8000
Ni3 Ni 0.0596 0.4608 0.8000
Ni4 Ni 0.1914 0.7500 0.1761
Ni5 Ni 0.2286 0.7500 0.7596
Ni6 Ni 0.2714 0.2500 0.2596
Ni7 Ni 0.3086 0.2500 0.6761
Ni8 Ni 0.4404 0.5392 0.3000
Ni9 Ni 0.4404 0.9608 0.3000
Ni10 Ni 0.4847 0.7500 0.9705
Ni11 Ni 0.5153 0.2500 0.0295
Ni12 Ni 0.5596 0.0392 0.7000
Ni13 Ni 0.5596 0.4608 0.7000
Ni14 Ni 0.6914 0.7500 0.3239
Ni15 Ni 0.7286 0.7500 0.7404
Ni16 Ni 0.7714 0.2500 0.2404
Ni17 Ni 0.8086 0.2500 0.8239
Ni18 Ni 0.9404 0.5392 0.2000
Ni19 Ni 0.9404 0.9608 0.2000
Ni20 Ni 0.9847 0.7500 0.5295
```

Volume ... 11.40 Å³/atom
Crystal system ... orthorhombic

***

The winner here is 2, beating the second structure by 0.012 eV/atom.